(1)
Entry from Alexandria via LeMat-Bulk: a geometry-optimized Tb7Ho12Sc structure (PBE-GGA).

Calculated values
* total moment: 0.00 μB/f.u.
* crystal system: trigonal
* space-group type: No. 148
* ΔH_f (0 K): 6.3 eV per formula unit
* energy relative to the lowest polymorph listed for this composition: 32.7 meV per atom

Cell lengths 6.613, 10.905, 10.905 Å; angles 63.98, 78.34, 101.66 degrees
Positions (direct):
Tb (0.806, 0.164, 0.135)
Tb (0.059, 0.865, 0.299)
Tb (0.359, 0.299, 0.836)
Tb (0.500, 0.000, 0.000)
Tb (0.641, 0.701, 0.164)
Tb (0.941, 0.135, 0.701)
Tb (0.194, 0.836, 0.865)
Ho (0.734, 0.479, 0.065)
Ho (0.201, 0.935, 0.545)
Ho (0.297, 0.212, 0.213)
Ho (0.491, 0.787, 0.424)
Ho (0.746, 0.545, 0.521)
Ho (0.915, 0.424, 0.788)
Ho (0.085, 0.576, 0.212)
Ho (0.254, 0.455, 0.479)
Ho (0.509, 0.213, 0.576)
Ho (0.703, 0.788, 0.787)
Ho (0.799, 0.065, 0.455)
Ho (0.266, 0.521, 0.935)
Sc (0.000, 0.000, 0.000)



(2)
Entry from Alexandria via LeMat-Bulk: a geometry-optimized Sr2MnMo structure (PBE-GGA).

Calculated values
* total moment: 7.22 μB/f.u.
* crystal system: tetragonal
* space-group type: No. 123
* ΔH_f (0 K): 4.3 eV per formula unit
* energy relative to the lowest polymorph listed for this composition: 605.3 meV per atom

Cell lengths 5.514, 5.514, 3.852 Å; angles 90.00, 90.00, 90.00 degrees
Last column: magnetic moment on the atom in μB.
Positions (direct):
Mn (0.500, 0.000, 0.500)  3.93
Mo (0.000, 0.500, 0.500)  2.53
Sr (0.000, 0.000, 0.000)  0.01
Sr (0.500, 0.500, 0.000)  0.01



(3)
Entry from Alexandria via LeMat-Bulk: a geometry-optimized TlZnCr2 structure (PBE-GGA).

Calculated values
* total moment: 1.42 μB/f.u.
* crystal system: monoclinic
* space-group type: No. 10
* ΔH_f (0 K): 2.5 eV per formula unit

Cell lengths 4.086, 2.861, 6.055 Å; angles 65.72, 90.00, 90.00 degrees
Last column: magnetic moment on the atom in μB.
Positions (direct):
Cr (0.000, 0.035, 0.931)  0.68
Cr (0.000, 0.465, 0.569)  0.68
Tl (0.500, 0.250, 0.250)  -0.01
Zn (0.500, 0.750, 0.750)  -0.01



Question: Which value of total moment does entry 1 give?
Answer: 0.00 μB/f.u.



Question: The highest total moment belongs to which entry?
Answer: Sr2MnMo



Question: What is the formula in the second record?
Answer: Sr2MnMo



Question: The highest total moment belongs to which entry?
Answer: Sr2MnMo